Record 1
{
  "formula": "PmPtI",
  "functional": "PBE",
  "state": "optimized geometry",
  "spacegroup": "Cmcm (63)",
  "volume_a3_per_cell": 197.9,
  "relative_energy_ev_per_atom": 0.1670,
  "m_tot_mub_per_cell": 0.000,
  "e_form_raw_kj_per_mol_atoms": -102,
  "lattice": [[1.949, -10.826, 0.000], [1.949, 10.826, 0.000], [0.000, 0.000, 4.690]],
  "species": ["Pm", "Pm", "Pt", "Pt", "I", "I"],
  "frac_coords": [[0.070, 0.930, 0.750], [0.930, 0.070, 0.250], [0.467, 0.533, 0.750], [0.533, 0.467, 0.250], [0.167, 0.833, 0.250], [0.833, 0.167, 0.750]]
}

---

Record 2
{
  "formula": "PmPtI6",
  "functional": "PBE",
  "state": "optimized geometry",
  "spacegroup": "P-1 (2)",
  "volume_a3_per_cell": 312.2,
  "m_tot_mub_per_cell": 0.634,
  "e_form_raw_kj_per_mol_atoms": -59,
  "lattice": [[7.202, 0.000, 0.000], [3.296, 6.486, 0.000], [0.043, 4.051, 6.684]],
  "species": ["Pm", "Pt", "I", "I", "I", "I", "I", "I"],
  "frac_coords": [[0.000, 0.000, 0.000], [0.500, 0.000, 0.500], [0.100, 0.480, 0.255], [0.279, 0.820, 0.739], [0.434, 0.840, 0.269], [0.566, 0.160, 0.731], [0.721, 0.180, 0.261], [0.900, 0.520, 0.745]]
}

---

Record 3
{
  "formula": "Pm2PtI3",
  "functional": "PBE",
  "state": "optimized geometry",
  "spacegroup": "C2/m (12)",
  "volume_a3_per_cell": 443.6,
  "m_tot_mub_per_cell": 0.000,
  "e_form_raw_kj_per_mol_atoms": -118,
  "lattice": [[9.401, -2.198, 0.000], [9.401, 2.198, 0.000], [-6.457, 0.000, 10.736]],
  "species": ["Pm", "Pm", "Pm", "Pm", "Pt", "Pt", "I", "I", "I", "I", "I", "I"],
  "frac_coords": [[0.100, 0.100, 0.436], [0.360, 0.360, 0.203], [0.640, 0.640, 0.797], [0.900, 0.900, 0.564], [0.065, 0.065, 0.630], [0.935, 0.935, 0.370], [0.161, 0.161, 0.013], [0.269, 0.269, 0.379], [0.457, 0.457, 0.776], [0.543, 0.543, 0.224], [0.731, 0.731, 0.621], [0.839, 0.839, 0.987]]
}

---

Record 4
{
  "formula": "Pm2PtI2",
  "functional": "PBE",
  "state": "optimized geometry",
  "spacegroup": "R-3m (166)",
  "volume_a3_per_cell": 180.0,
  "m_tot_mub_per_cell": 0.000,
  "e_form_raw_kj_per_mol_atoms": -122,
  "lattice": [[2.106, 1.216, 11.718], [-2.106, 1.216, 11.718], [0.000, -2.431, 11.718]],
  "species": ["Pm", "Pm", "Pt", "I", "I"],
  "frac_coords": [[0.120, 0.120, 0.120], [0.880, 0.880, 0.880], [0.500, 0.500, 0.500], [0.275, 0.275, 0.275], [0.725, 0.725, 0.725]]
}

---

Record 5
{
  "formula": "PmPtI",
  "functional": "PBE",
  "state": "optimized geometry",
  "spacegroup": "R-3m (166)",
  "volume_a3_per_cell": 199.7,
  "relative_energy_ev_per_atom": 0.0002,
  "m_tot_mub_per_cell": 0.000,
  "e_form_raw_kj_per_mol_atoms": -118,
  "lattice": [[2.190, 1.264, 12.022], [-2.190, 1.264, 12.022], [0.000, -2.528, 12.022]],
  "species": ["Pm", "Pm", "Pt", "Pt", "I", "I"],
  "frac_coords": [[0.054, 0.054, 0.054], [0.946, 0.946, 0.946], [0.345, 0.345, 0.345], [0.655, 0.655, 0.655], [0.221, 0.221, 0.221], [0.779, 0.779, 0.779]]
}

---

Record 6
{
  "formula": "Pm2PtI8",
  "functional": "PBE",
  "state": "optimized geometry",
  "spacegroup": "C2/m (12)",
  "volume_a3_per_cell": 633.7,
  "m_tot_mub_per_cell": 0.000,
  "e_form_raw_kj_per_mol_atoms": -89,
  "lattice": [[8.196, -3.757, 0.000], [8.196, 3.757, 0.000], [-3.429, 0.000, 10.290]],
  "species": ["Pm", "Pm", "Pt", "I", "I", "I", "I", "I", "I", "I", "I"],
  "frac_coords": [[0.232, 0.232, 0.320], [0.768, 0.768, 0.680], [0.000, 0.000, 0.000], [0.136, 0.643, 0.882], [0.215, 0.215, 0.590], [0.357, 0.864, 0.118], [0.401, 0.401, 0.292], [0.599, 0.599, 0.708], [0.643, 0.136, 0.882], [0.785, 0.785, 0.410], [0.864, 0.357, 0.118]]
}

---

Record 7
{
  "formula": "PmPuPtI",
  "functional": "PBE",
  "state": "optimized geometry",
  "spacegroup": "R3m (160)",
  "volume_a3_per_cell": 122.1,
  "m_tot_mub_per_cell": 5.935,
  "e_form_raw_kj_per_mol_atoms": -88,
  "lattice": [[2.087, 1.205, 8.092], [-2.087, 1.205, 8.092], [0.000, -2.410, 8.092]],
  "species": ["Pm", "Pu", "Pt", "I"],
  "frac_coords": [[0.000, 0.000, 0.000], [0.206, 0.206, 0.206], [0.602, 0.602, 0.602], [0.770, 0.770, 0.770]]
}

---

Record 8
{
  "formula": "Pm6Ru2PtI3",
  "functional": "PBE",
  "state": "optimized geometry",
  "spacegroup": "C2/m (12)",
  "volume_a3_per_cell": 365.5,
  "m_tot_mub_per_cell": 0.000,
  "e_form_raw_kj_per_mol_atoms": -80,
  "lattice": [[3.608, -6.248, 0.000], [3.608, 6.248, 0.000], [-2.402, 0.000, 8.106]],
  "species": ["Pm", "Pm", "Pm", "Pm", "Pm", "Pm", "Ru", "Ru", "Pt", "I", "I", "I"],
  "frac_coords": [[0.093, 0.438, 0.814], [0.216, 0.216, 0.185], [0.438, 0.093, 0.814], [0.562, 0.907, 0.186], [0.784, 0.784, 0.815], [0.907, 0.562, 0.186], [0.167, 0.833, 0.000], [0.833, 0.167, 0.000], [0.500, 0.500, 0.000], [0.000, 0.000, 0.500], [0.333, 0.667, 0.500], [0.667, 0.333, 0.500]]
}

---

Record 9
{
  "formula": "Pm6Pt2SI3",
  "functional": "PBE",
  "state": "optimized geometry",
  "spacegroup": "C2/m (12)",
  "volume_a3_per_cell": 371.9,
  "m_tot_mub_per_cell": 0.000,
  "e_form_raw_kj_per_mol_atoms": -117,
  "lattice": [[3.727, -6.424, 0.000], [3.727, 6.424, 0.000], [-2.459, 0.000, 7.765]],
  "species": ["Pm", "Pm", "Pm", "Pm", "Pm", "Pm", "Pt", "Pt", "S", "I", "I", "I"],
  "frac_coords": [[0.092, 0.437, 0.812], [0.216, 0.216, 0.188], [0.437, 0.092, 0.812], [0.563, 0.908, 0.188], [0.784, 0.784, 0.812], [0.908, 0.563, 0.188], [0.167, 0.833, 0.000], [0.833, 0.167, 0.000], [0.500, 0.500, 0.000], [0.000, 0.000, 0.500], [0.337, 0.663, 0.500], [0.663, 0.337, 0.500]]
}

---

Record 10
{
  "formula": "Pm4PtSeI2",
  "functional": "PBE",
  "state": "optimized geometry",
  "spacegroup": "P2/m (10)",
  "volume_a3_per_cell": 246.1,
  "m_tot_mub_per_cell": 0.000,
  "e_form_raw_kj_per_mol_atoms": -118,
  "lattice": [[7.623, 0.000, 0.000], [0.000, 4.183, 0.000], [-2.363, 0.000, 7.718]],
  "species": ["Pm", "Pm", "Pm", "Pm", "Pt", "Se", "I", "I"],
  "frac_coords": [[0.212, 0.000, 0.195], [0.263, 0.500, 0.803], [0.737, 0.500, 0.197], [0.788, 0.000, 0.805], [0.000, 0.500, 0.000], [0.500, 0.000, 0.000], [0.000, 0.000, 0.500], [0.500, 0.500, 0.500]]
}